No. 1
The following is a PBE calculation of crystalline Zr2TaHg at its relaxed geometry, from Alexandria.

Summary:
Magnetization   0.00 μB/f.u.
ΔH_f (0 K)   0.150 eV per atom
Space group   R3m

Unit cell a=10.048 b=10.048 c=10.048 alpha=18.24 beta=18.24 gamma=18.24
Element x y z (fractional)
1 Hg 0.497 0.497 0.497
2 Zr 0.003 0.003 0.003
3 Zr 0.249 0.249 0.249
4 Ta 0.750 0.750 0.750

No. 2
The following is a PBE calculation of crystalline MgSc2Be at its relaxed geometry, from Alexandria.

Summary:
Magnetization   0.00 μB/f.u.
ΔH_f (0 K)   0.067 eV per atom
Space group   P4/mmm

Unit cell a=7.516 b=4.693 c=3.531 alpha=89.96 beta=62.03 gamma=128.63
Element x y z (fractional)
1 Sc 0.500 0.000 0.500
2 Be 0.000 0.500 0.500
3 Mg 0.500 0.500 0.000
4 Sc 0.000 0.000 0.000